A plane-wave DFT calculation with meta-GGA SCAN was carried out for a PBEsol-optimized structure of BeHgTe2. Values from VASP.

Geometry as Quantum ESPRESSO input:
```
&SYSTEM
  ibrav = 0, nat = 4, ntyp = 3
/
ATOMIC_SPECIES
Be 9.01 Be.upf
Te 127.60 Te.upf
Hg 200.59 Hg.upf
CELL_PARAMETERS angstrom
-1.6629 -3.7051 2.4529
3.9241 2.0200 2.4603
-3.4912 3.6515 -0.1026
ATOMIC_POSITIONS angstrom
Be -0.6150 0.9832 2.4053
Te 1.9621 1.0100 1.2302
Te -1.7456 1.8257 -0.0513
Hg -0.8315 -1.8526 1.2264
```

Computed properties:
- density of states at the Fermi level (states/eV/atom) = 0.46
- ΔE to the lowest computed polymorph (meV/atom) = 626.8

---

A plane-wave DFT calculation with meta-GGA SCAN was carried out for a PBEsol-optimized structure of BeHgTe3. Values from VASP.

Geometry as Quantum ESPRESSO input:
```
&SYSTEM
  ibrav = 0, nat = 5, ntyp = 3
/
ATOMIC_SPECIES
Be 9.01 Be.upf
Te 127.60 Te.upf
Hg 200.59 Hg.upf
CELL_PARAMETERS angstrom
-3.1777 -2.7098 3.5894
4.1327 -3.4930 1.0217
1.7740 3.2833 4.0493
ATOMIC_POSITIONS angstrom
Be 1.3645 -1.4597 4.3302
Te 2.0663 -1.7465 0.5109
Te 0.8870 1.6417 2.0246
Te -1.5889 -1.3549 1.7947
Hg 0.0000 0.0000 0.0000
```

Computed properties:
- density of states at the Fermi level (states/eV/atom) = 1.19
- VASP energy (eV/atom) = -35.699

---

A plane-wave DFT calculation with meta-GGA SCAN was carried out for a PBEsol-optimized structure of BeHgTe. Values from VASP.

Geometry as Quantum ESPRESSO input:
```
&SYSTEM
  ibrav = 0, nat = 3, ntyp = 3
/
ATOMIC_SPECIES
Be 9.01 Be.upf
Te 127.60 Te.upf
Hg 200.59 Hg.upf
CELL_PARAMETERS angstrom
4.5233 0.0000 0.0000
2.2617 3.9173 0.0000
2.2617 1.3058 3.6933
ATOMIC_POSITIONS angstrom
Be 2.2617 1.3058 0.9233
Te 4.5233 2.6116 1.8466
Hg 0.0000 0.0000 0.0000
```

Computed properties:
- density of states at the Fermi level (states/eV/atom) = 0.00
- ΔE to the lowest computed polymorph (meV/atom) = 0.0

---

A plane-wave DFT calculation with meta-GGA SCAN was carried out for a PBEsol-optimized structure of Ti3BeHg. Values from VASP.

Geometry as Quantum ESPRESSO input:
```
&SYSTEM
  ibrav = 0, nat = 5, ntyp = 3
/
ATOMIC_SPECIES
Be 9.01 Be.upf
Hg 200.59 Hg.upf
Ti 47.87 Ti.upf
CELL_PARAMETERS angstrom
4.8880 0.0000 0.0000
0.0000 4.8880 0.0000
0.0000 0.0000 4.8880
ATOMIC_POSITIONS angstrom
Be 2.4440 2.4440 2.4440
Hg 0.0000 0.0000 0.0000
Ti 0.0000 2.4440 0.0000
Ti 0.0000 0.0000 2.4440
Ti 2.4440 0.0000 0.0000
```

Computed properties:
- density of states at the Fermi level (states/eV/atom) = 0.61
- ΔH_f (0 K) (eV/atom) = 1.328

---

A plane-wave DFT calculation with meta-GGA SCAN was carried out for a PBEsol-optimized structure of BeTl2Hg. Values from VASP.

Geometry as Quantum ESPRESSO input:
```
&SYSTEM
  ibrav = 0, nat = 4, ntyp = 3
/
ATOMIC_SPECIES
Be 9.01 Be.upf
Tl 204.38 Tl.upf
Hg 200.59 Hg.upf
CELL_PARAMETERS angstrom
5.0664 0.0000 0.0000
2.5332 4.3876 0.0000
2.5332 1.4625 4.1367
ATOMIC_POSITIONS angstrom
Be 5.0664 2.9251 2.0684
Tl 0.0000 0.0000 0.0000
Tl 7.5996 4.3876 3.1025
Hg 2.5332 1.4625 1.0342
```

Computed properties:
- density of states at the Fermi level (states/eV/atom) = 0.49
- ΔH_f (0 K) (eV/atom) = 0.567

---

A plane-wave DFT calculation with meta-GGA SCAN was carried out for a PBEsol-optimized structure of Be2TlHg. Values from VASP.

Geometry as Quantum ESPRESSO input:
```
&SYSTEM
  ibrav = 0, nat = 4, ntyp = 3
/
ATOMIC_SPECIES
Be 9.01 Be.upf
Tl 204.38 Tl.upf
Hg 200.59 Hg.upf
CELL_PARAMETERS angstrom
-2.6660 -0.8589 -1.5134
-0.6872 -3.0843 -0.3875
-4.8960 -1.3084 6.0189
ATOMIC_POSITIONS angstrom
Be -2.1293 -1.3128 1.1475
Be -6.1199 -3.9388 2.9705
Tl 0.0000 0.0000 0.0000
Hg -4.1246 -2.6258 2.0590
```

Computed properties:
- density of states at the Fermi level (states/eV/atom) = 0.28
- ΔE to the lowest computed polymorph (meV/atom) = 0.0
- ΔH_f (0 K) (eV/atom) = 0.521

---

A plane-wave DFT calculation with meta-GGA SCAN was carried out for a PBEsol-optimized structure of BeTlHg2. Values from VASP.

Geometry as Quantum ESPRESSO input:
```
&SYSTEM
  ibrav = 0, nat = 4, ntyp = 3
/
ATOMIC_SPECIES
Be 9.01 Be.upf
Tl 204.38 Tl.upf
Hg 200.59 Hg.upf
CELL_PARAMETERS angstrom
-2.3322 1.5228 -1.1458
-1.0681 -3.2791 -2.1838
-2.2554 -1.2827 6.8442
ATOMIC_POSITIONS angstrom
Be -2.6416 -2.7909 1.6677
Tl -2.2221 -1.1633 -0.9814
Hg -5.0311 -2.6978 2.6966
Hg -3.1168 -0.3043 1.9813
```

Computed properties:
- density of states at the Fermi level (states/eV/atom) = 0.27
- ΔH_f (0 K) (eV/atom) = 0.197

---

A plane-wave DFT calculation with meta-GGA SCAN was carried out for a PBEsol-optimized structure of Be2TlHg. Values from VASP.

Geometry as Quantum ESPRESSO input:
```
&SYSTEM
  ibrav = 0, nat = 4, ntyp = 3
/
ATOMIC_SPECIES
Be 9.01 Be.upf
Tl 204.38 Tl.upf
Hg 200.59 Hg.upf
CELL_PARAMETERS angstrom
3.2335 0.0000 -0.0099
0.0000 4.1340 0.0000
-0.4434 0.0000 5.4312
ATOMIC_POSITIONS angstrom
Be 0.5698 0.0000 1.8069
Be 2.2203 0.0000 3.6144
Tl 0.0000 2.0670 0.0000
Hg 1.3951 2.0670 2.7107
```

Computed properties:
- density of states at the Fermi level (states/eV/atom) = 0.28
- ΔE to the lowest computed polymorph (meV/atom) = 23.3
- ΔH_f (0 K) (eV/atom) = 0.545

---

What did the fifth record say?
A plane-wave DFT calculation with meta-GGA SCAN was carried out for a PBEsol-optimized structure of BeTl2Hg. Values from VASP.

Geometry as Quantum ESPRESSO input:
```
&SYSTEM
  ibrav = 0, nat = 4, ntyp = 3
/
ATOMIC_SPECIES
Be 9.01 Be.upf
Tl 204.38 Tl.upf
Hg 200.59 Hg.upf
CELL_PARAMETERS angstrom
5.0664 0.0000 0.0000
2.5332 4.3876 0.0000
2.5332 1.4625 4.1367
ATOMIC_POSITIONS angstrom
Be 5.0664 2.9251 2.0684
Tl 0.0000 0.0000 0.0000
Tl 7.5996 4.3876 3.1025
Hg 2.5332 1.4625 1.0342
```

Computed properties:
- density of states at the Fermi level (states/eV/atom) = 0.49
- ΔH_f (0 K) (eV/atom) = 0.567

---

- Look up the density of states at the Fermi level of the second one.
  1.19 states/eV/atom

---

- Which value of density of states at the Fermi level does entry 6 give?
  0.28 states/eV/atom

---

- The highest density of states at the Fermi level belongs to which entry?
  BeHgTe3